Record 1
First-principles (PBE) data for KAg2Te2S6 after structural relaxation, as listed in the Alexandria database.

Cell: 6.396 7.425 7.543 Å, 105.25 99.25 94.37°
Positions (direct):
1 K 0.000 0.000 0.000
2 Ag 0.285 0.573 0.135
3 Ag 0.715 0.427 0.865
4 Te 0.145 0.287 0.615
5 Te 0.855 0.713 0.385
6 S 0.024 0.583 0.765
7 S 0.187 0.878 0.377
8 S 0.370 0.260 0.896
9 S 0.630 0.740 0.104
10 S 0.813 0.122 0.623
11 S 0.976 0.417 0.235

Calculated values
Raw total energy in eV per cell: -39.4
ΔE_f (raw) in kJ/mol of atoms: -13.3
SG: No. 2
DOS(E_F) in states/eV/cell: 6.616


Record 2
First-principles (PBE) data for Ho3Pb2O after structural relaxation, as listed in the Alexandria database.

Cell: 6.868 6.868 6.489 Å, 90.00 90.00 77.78°
Positions (direct):
1 Ho 0.165 0.835 0.750
2 Ho 0.344 0.344 0.000
3 Ho 0.344 0.344 0.500
4 Ho 0.656 0.656 0.000
5 Ho 0.656 0.656 0.500
6 Ho 0.835 0.165 0.250
7 Pb 0.040 0.667 0.250
8 Pb 0.333 0.960 0.250
9 Pb 0.667 0.040 0.750
10 Pb 0.960 0.333 0.750
11 O 0.427 0.573 0.750
12 O 0.573 0.427 0.250

Calculated values
Raw total energy in eV per cell: -66.5
ΔE_f (raw) in kJ/mol of atoms: -115.1
SG: No. 63
DOS(E_F) in states/eV/cell: 5.984


Record 3
First-principles (PBE) data for LaPm8Sn6 after structural relaxation, as listed in the Alexandria database.

Cell: 8.512 8.512 8.512 Å, 66.58 66.58 66.58°
Positions (direct):
1 La 0.000 0.000 0.000
2 Pm 0.105 0.433 0.774
3 Pm 0.226 0.895 0.567
4 Pm 0.333 0.333 0.333
5 Pm 0.433 0.774 0.105
6 Pm 0.567 0.226 0.895
7 Pm 0.667 0.667 0.667
8 Pm 0.774 0.105 0.433
9 Pm 0.895 0.567 0.226
10 Sn 0.068 0.730 0.407
11 Sn 0.270 0.593 0.932
12 Sn 0.407 0.068 0.730
13 Sn 0.593 0.932 0.270
14 Sn 0.730 0.407 0.068
15 Sn 0.932 0.270 0.593

Calculated values
Raw total energy in eV per cell: -75.6
ΔE_f in eV per atom: -0.58
SG: No. 148
DOS(E_F) in states/eV/cell: 9.240


Record 4
First-principles (PBE) data for Rb2LaThS4 after structural relaxation, as listed in the Alexandria database.

Cell: 7.338 4.226 8.106 Å, 90.00 107.43 90.00°
Positions (direct):
1 Rb 0.000 0.000 0.000
2 Rb 0.500 0.500 0.000
3 La 0.000 0.500 0.500
4 Th 0.500 0.000 0.500
5 S 0.244 0.000 0.701
6 S 0.276 0.500 0.301
7 S 0.724 0.500 0.699
8 S 0.756 0.000 0.299

Calculated values
Raw total energy in eV per cell: -44.9
ΔE_f (raw) in kJ/mol of atoms: -170.5
SG: No. 10
DOS(E_F) in states/eV/cell: 4.631


Record 5
First-principles (PBE) data for ZnNiAu2 after structural relaxation, as listed in the Alexandria database.

Cell: 2.867 4.157 5.341 Å, 90.00 105.31 90.00°
Positions (direct):
1 Zn 0.000 0.000 0.000
2 Ni 0.877 0.500 0.738
3 Au 0.275 0.000 0.538
4 Au 0.606 0.500 0.209

Calculated values
Raw total energy in eV per cell: -13.9
ΔE_f in eV per atom: -0.07
SG: No. 6
DOS(E_F) in states/eV/cell: 1.739


Record 6
First-principles (PBE) data for Ce4ZnAu7 after structural relaxation, as listed in the Alexandria database.

Cell: 7.811 7.811 9.271 Å, 119.13 119.13 37.12°
Positions (direct):
1 Ce 0.063 0.063 0.253
2 Ce 0.226 0.226 0.762
3 Ce 0.774 0.774 0.238
4 Ce 0.937 0.937 0.747
5 Zn 0.500 0.500 0.500
6 Au 0.000 0.000 0.500
7 Au 0.163 0.163 0.044
8 Au 0.310 0.310 0.511
9 Au 0.399 0.399 0.156
10 Au 0.601 0.601 0.844
11 Au 0.690 0.690 0.489
12 Au 0.837 0.837 0.956

Calculated values
Raw total energy in eV per cell: -54.3
ΔE_f in eV per atom: -0.53
SG: No. 12
DOS(E_F) in states/eV/cell: 30.737